1.
BiTeAuO | the Open Quantum Materials Database | GGA-PBE | relaxed; relative energy among the computed polymorphs = 0 meV per atom; density = 10.887 Mg/m³; space-group type = P4/nmm
1.0
4.120 0.000 0.000
0.000 4.120 0.000
0.000 0.000 9.877
Bi Te Au O
2 2 2 2
direct
0.250 0.250 0.122
0.750 0.750 0.878
0.250 0.250 0.707
0.750 0.750 0.293
0.250 0.750 0.500
0.750 0.250 0.500
0.250 0.750 0.000
0.750 0.250 0.000

2.
BiTeAuO | the Open Quantum Materials Database | GGA-PBE | relaxed; relative energy among the computed polymorphs = 278 meV per atom; density = 8.974 Mg/m³; space-group type = Pmc2_1
1.0
4.014 0.000 0.000
0.000 6.930 0.000
0.000 0.000 7.310
Bi Te Au O
2 2 2 2
direct
0.000 0.099 0.000
0.000 0.901 0.500
0.500 0.374 0.179
0.500 0.626 0.679
0.500 0.247 0.518
0.500 0.753 0.018
0.000 0.158 0.700
0.000 0.842 0.200

3.
BiTeAuO | the Open Quantum Materials Database | GGA-PBE | relaxed; relative energy among the computed polymorphs = 93 meV per atom; density = 9.925 Mg/m³; space-group type = P2_1/c
1.0
7.364 0.000 0.000
0.000 7.190 0.000
-0.303 0.000 6.946
Bi Te Au O
4 4 4 4
direct
0.085 0.050 0.224
0.085 0.450 0.724
0.915 0.550 0.276
0.915 0.950 0.776
0.315 0.510 0.187
0.315 0.990 0.687
0.685 0.010 0.313
0.685 0.490 0.813
0.430 0.669 0.541
0.430 0.831 0.041
0.570 0.169 0.959
0.570 0.331 0.459
0.018 0.195 0.960
0.018 0.305 0.460
0.982 0.695 0.540
0.982 0.805 0.040

4.
Bi2OsAu | the Open Quantum Materials Database | GGA-PBE | relaxed; size of the total moment = 0.148 μB per atom; density = 15.105 Mg/m³; space-group type = F-43m
1.0
0.000 3.537 3.537
3.537 0.000 3.537
3.537 3.537 0.000
Bi Os Au
2 1 1
direct
0.000 0.000 0.000
0.250 0.250 0.250
0.750 0.750 0.750
0.500 0.500 0.500

5.
BiOsPbAu | the Open Quantum Materials Database | GGA-PBE | relaxed; relative energy among the computed polymorphs = 0 meV per atom; size of the total moment = 0.026 μB per atom; density = 15.301 Mg/m³; space-group type = F-43m
1.0
0.000 3.519 3.519
3.519 0.000 3.519
3.519 3.519 0.000
Bi Os Pb Au
1 1 1 1
direct
0.000 0.000 0.000
0.750 0.750 0.750
0.500 0.500 0.500
0.250 0.250 0.250

6.
SnBiOsAu | the Open Quantum Materials Database | GGA-PBE | relaxed; relative energy among the computed polymorphs = 0 meV per atom; size of the total moment = 0.003 μB per atom; density = 14.321 Mg/m³; space-group type = F-43m
1.0
0.000 3.461 3.461
3.461 0.000 3.461
3.461 3.461 0.000
Sn Bi Os Au
1 1 1 1
direct
0.000 0.000 0.000
0.500 0.500 0.500
0.250 0.250 0.250
0.750 0.750 0.750

7.
Rb4BiPAu2 | the Open Quantum Materials Database | GGA-PBE | relaxed; density = 5.449 Mg/m³; space-group type = Amm2
1.0
7.028 0.000 0.000
0.000 5.444 3.886
0.000 -5.444 3.886
Rb Bi P Au
4 1 1 2
direct
0.000 0.165 0.835
0.000 0.835 0.165
0.500 0.501 0.855
0.500 0.855 0.501
0.000 0.566 0.566
0.500 0.072 0.072
0.276 0.306 0.306
0.724 0.306 0.306

8.
BiPbAu | the Open Quantum Materials Database | GGA-PBE | relaxed; relative energy among the computed polymorphs = 0 meV per atom; density = 11.611 Mg/m³; space-group type = F-43m
1.0
0.000 3.526 3.526
3.526 0.000 3.526
3.526 3.526 0.000
Bi Pb Au
1 1 1
direct
0.000 0.000 0.000
0.500 0.500 0.500
0.250 0.250 0.250

Result set for final energy: -4.35 -4.07 -4.26 -4.70 -4.82 -5.01 -2.91 -3.75 eV per atom, one per record in the order listed.